Entry 1:
Hg2PCl, optimized geometry, DFT PBE-GGA; DOS(E_F) = 3.097 states/eV per cell; polymorph energy (0 for the lowest one) = 591.6 meV per atom; density = 8.2 g/cm3; volume = 23.56 A^3/atom; total DFT energy (no corrections) = -6.519 eV/f.u.; E_form (uncorrected) = 335 meV/atom
1.0
6.991 -1.585 0.000
6.991 1.585 0.000
-1.433 0.000 4.252
Hg P Cl
2 1 1
Cartesian
2.379 0.000 0.807 Hg
10.169 0.000 3.445 Hg
6.991 0.000 0.000 P
-0.717 0.000 2.126 Cl

---

Entry 2:
PmBeTe2, optimized geometry, DFT PBE-GGA; DOS(E_F) = 3.544 states/eV per cell; density = 6.0 g/cm3; volume = 28.50 A^3/atom; total DFT energy (no corrections) = -15.049 eV/f.u.; E_form (uncorrected) = -72 meV/atom
1.0
1.897 1.095 9.149
-1.897 1.095 9.149
0.000 -2.190 9.149
Pm Be Te
1 1 2
Cartesian
0.000 0.000 0.000 Pm
0.000 0.000 13.723 Be
0.000 0.000 3.095 Te
0.000 0.000 24.351 Te

---

Entry 3:
PrTmMgIn, optimized geometry, DFT PBE-GGA; DOS(E_F) = 2.706 states/eV per cell; energy relative to the elements = -309.9 meV per atom; density = 6.8 g/cm3; volume = 27.58 A^3/atom; total DFT energy (no corrections) = -14.824 eV/f.u.
1.0
0.000 3.807 3.807
3.807 0.000 3.807
3.807 3.807 0.000
Pr Tm Mg In
1 1 1 1
Cartesian
0.000 0.000 0.000 Pr
3.807 3.807 3.807 Tm
1.903 1.903 1.903 Mg
5.710 5.710 5.710 In